Record 1
The following is a DFT calculation (GGA-PBE) of a relaxed structure of Pm6Ho3Sc.

Lattice parameters (Å, degrees): 9.8408 9.8408 11.8791 90.00 90.00 120.00
With the nearest neighbours (Å) after each atom.
Space group R-3 (No. 148, hexagonal axes)
Asymmetric unit:
Pm: 0.0009 0.6718 0.4171 [18 per cell]  2 Ho 3.30-3.46, 1 Sc 3.38
Ho: 0.0000 0.0000 0.0000 [3 per cell]  2 Ho 3.02
Ho: 0.0000 0.0000 0.2544 [6 per cell]  1 Sc 2.92, 1 Ho 3.02
Sc: 0.0000 0.0000 0.5000 [3 per cell]  2 Ho 2.92

Computed properties:
ΔE_f	218.8	meV/atom
electronic total energy	-139.1	eV for the cell shown
energy relative to the lowest polymorph listed for this composition	0.080	eV/atom

***

Record 2
The following is a DFT calculation (GGA-PBE) of a relaxed structure of Pm4HoSc4.

Lattice parameters (Å, degrees): 10.3926 10.3926 4.8897 90.00 90.00 90.00
With the nearest neighbours (Å) after each atom.
Space group I4/mmm (No. 139)
Asymmetric unit:
Pm: 0.0000 0.3266 0.0000 [8 per cell]  1 Ho 3.39, 6 Sc 3.43-3.48, 5 Pm 3.53-3.60
Ho: 0.0000 0.0000 0.0000 [2 per cell]  4 Pm 3.39, 8 Sc 3.45
Sc: 0.1653 0.1653 0.5000 [8 per cell]  6 Pm 3.43-3.48, 4 Sc 3.44-3.49, 2 Ho 3.45

Computed properties:
ΔE_f	60.2	meV/atom
electronic total energy	-96.7	eV for the cell shown

***

Record 3
The following is a DFT calculation (GGA-PBE) of a relaxed structure of PmHo4Sc4.

Lattice parameters (Å, degrees): 6.7624 6.7624 11.7788 90.00 90.00 90.00
With the nearest neighbours (Å) after each atom.
Space group P4_2/nmc (No. 137, origin choice 2)
Asymmetric unit:
Pm: 0.2500 0.7500 0.2500 [2 per cell]  4 Ho 3.68, 8 Sc 3.75
Ho: 0.0095 0.2500 0.0243 [8 per cell]  4 Ho 3.25-3.51, 5 Sc 3.26-3.37
Sc: 0.0316 0.2500 0.3069 [8 per cell]  3 Sc 2.95-3.01, 2 Ho 3.26

Computed properties:
ΔE_f	269.9	meV/atom
electronic total energy	-91.9	eV for the cell shown
energy relative to the lowest polymorph listed for this composition	0.216	eV/atom